(1)
## ScCr2Co (PBE-GGA)

Data for a geometry-optimized ScCr2Co structure.

Calculated values
**Magnetization**: 0.00 μB per formula unit
**E**: -7.872 eV per atom
**Formation energy**: 299.0 meV/atom
**Space-group type**: No. 10

Cell lengths 4.407, 2.642, 4.668 Å; angles 77.77, 90.00, 90.00 degrees
Sites, in units of the cell vectors:
Cr (0.000, 0.978, 0.999)
Cr (0.000, 0.522, 0.501)
Sc (0.500, 0.250, 0.250)
Co (0.500, 0.750, 0.750)



(2)
## ScCrCoSn (PBE-GGA)

Data for a geometry-optimized ScCrCoSn structure.

Calculated values
**Magnetization**: 4.00 μB per formula unit
**E**: -6.919 eV per atom
**Formation energy**: -153.4 meV/atom
**Space-group type**: No. 216

Cell lengths 4.518, 4.518, 4.518 Å; angles 60.00, 60.00, 60.00 degrees
Each line ends with the local moment (μB).
Sites, in units of the cell vectors:
Sn (0.250, 0.250, 0.250)  -0.06
Cr (0.000, 0.000, 0.000)  3.27
Sc (0.750, 0.750, 0.750)  -0.05
Co (0.500, 0.500, 0.500)  0.64



(3)
## ScCr2CoSn (PBE-GGA)

Data for a geometry-optimized ScCr2CoSn structure.

Calculated values
**Magnetization**: 7.04 μB per formula unit
**E**: -6.751 eV per atom
**Formation energy**: 586.7 meV/atom
**Space-group type**: No. 123

Cell lengths 4.518, 4.789, 4.518 Å; angles 90.00, 90.00, 90.00 degrees
Each line ends with the local moment (μB).
Sites, in units of the cell vectors:
Co (0.000, 0.000, 0.000)  -0.05
Cr (0.500, 0.000, 0.000)  3.37
Cr (0.000, 0.000, 0.500)  2.97
Sn (0.000, 0.500, 0.000)  -0.04
Sc (0.500, 0.500, 0.500)  0.10



(4)
## Cr4CoSe (PBE-GGA)

Data for a geometry-optimized Cr4CoSe structure.

Calculated values
**Magnetization**: 0.89 μB per formula unit
**E**: -7.613 eV per atom
**Space-group type**: No. 216
**Formation energy from raw total energies**: 0.57 eV per atom

Cell lengths 4.757, 4.757, 4.757 Å; angles 60.00, 60.00, 60.00 degrees
Each line ends with the local moment (μB).
Sites, in units of the cell vectors:
Cr (0.374, 0.374, 0.879)  -0.01
Cr (0.374, 0.374, 0.374)  -0.01
Cr (0.374, 0.879, 0.374)  -0.01
Cr (0.879, 0.374, 0.374)  -0.01
Se (0.750, 0.750, 0.750)  0.02
Co (0.000, 0.000, 0.000)  0.93



(5)
## CrCoSe (PBE-GGA)

Data for a geometry-optimized CrCoSe structure.

Calculated values
**Magnetization**: 2.81 μB per formula unit
**E**: -6.645 eV per atom
**Space-group type**: No. 187
**Formation energy from raw total energies**: 0.09 eV per atom

Cell lengths 3.875, 3.875, 3.341 Å; angles 90.00, 90.00, 120.00 degrees
Each line ends with the local moment (μB).
Sites, in units of the cell vectors:
Co (0.000, 0.000, 0.834)  -0.58
Se (0.333, 0.667, 0.833)  -0.09
Cr (0.667, 0.333, 0.333)  3.23



(6)
## CrCoSe4 (PBE-GGA)

Data for a geometry-optimized CrCoSe4 structure.

Calculated values
**Magnetization**: 1.98 μB per formula unit
**E**: -5.253 eV per atom
**Space-group type**: No. 5
**Formation energy from raw total energies**: -0.14 eV per atom

Cell lengths 4.813, 4.813, 6.226 Å; angles 104.74, 104.74, 100.69 degrees
Each line ends with the local moment (μB).
Sites, in units of the cell vectors:
Cr (0.018, 0.982, 0.000)  2.58
Co (0.726, 0.274, 0.500)  -0.30
Se (0.555, 0.088, 0.086)  -0.10
Se (0.203, 0.164, 0.436)  -0.09
Se (0.836, 0.797, 0.564)  -0.09
Se (0.912, 0.445, 0.914)  -0.10